# 1
First-principles (PBE-GGA) data for a geometry-optimized Dy5Tl4Cd structure, as listed in Alexandria.

```
data_Dy5Tl4Cd
_chemical_formula_sum 'Dy5 Tl4 Cd1'
_cell_length_a 3.761
_cell_length_b 3.761
_cell_length_c 19.119
_cell_angle_alpha 90.00
_cell_angle_beta 90.00
_cell_angle_gamma 90.00
_space_group_name_H-M_alt 'P 4/m m m'
_space_group_IT_number 123
_space_group_name_Hall '-P 4 2'
loop_
_atom_site_label
_atom_site_type_symbol
_atom_site_fract_x
_atom_site_fract_y
_atom_site_fract_z
_atom_site_occupancy
Dy1 Dy 0.000 0.000 0.000 1
Dy2 Dy 0.000 0.000 0.202 1
Dy3 Dy 0.000 0.000 0.404 1
Tl1 Tl 0.500 0.500 0.101 1
Tl2 Tl 0.500 0.500 0.304 1
Cd1 Cd 0.500 0.500 0.500 1
```

Total energy in hartree per atom: -0.135
Crystal system: tetragonal

=====

# 2
First-principles (PBE-GGA) data for a geometry-optimized Dy3Tl3Cd2 structure, as listed in Alexandria.

```
data_Dy3Tl3Cd2
_chemical_formula_sum 'Dy6 Tl6 Cd4'
_cell_length_a 9.0005
_cell_length_b 9.0005
_cell_length_c 6.1262
_cell_angle_alpha 90.00
_cell_angle_beta 90.00
_cell_angle_gamma 120.00
_space_group_name_H-M_alt 'P 63/m c m'
_space_group_IT_number 193
_space_group_name_Hall '-P 6c 2'
loop_
_atom_site_label
_atom_site_type_symbol
_atom_site_fract_x
_atom_site_fract_y
_atom_site_fract_z
_atom_site_occupancy
Dy1 Dy 0.0000 0.2442 0.2500 1
Tl1 Tl 0.0000 0.3941 0.7500 1
Cd1 Cd 0.3333 0.6667 0.0000 1
```

Total energy in hartree per atom: -0.111
Energy above the most stable polymorph in this dataset in kcal/mol of atoms: 1.80
Crystal system: hexagonal

=====

# 3
First-principles (PBE-GGA) data for a geometry-optimized Dy6TlCd6 structure, as listed in Alexandria.

```
data_Dy6TlCd6
_chemical_formula_sum 'Dy6 Tl1 Cd6'
_cell_length_a 6.0938
_cell_length_b 6.0938
_cell_length_c 11.0030
_cell_angle_alpha 90.00
_cell_angle_beta 90.00
_cell_angle_gamma 120.00
_space_group_name_H-M_alt 'P 6/m m m'
_space_group_IT_number 191
_space_group_name_Hall '-P 6 2'
loop_
_atom_site_label
_atom_site_type_symbol
_atom_site_fract_x
_atom_site_fract_y
_atom_site_fract_z
_atom_site_occupancy
Dy1 Dy 0.0000 0.0000 0.1573 1
Dy2 Dy 0.3333 0.6667 0.0000 1
Dy3 Dy 0.3333 0.6667 0.5000 1
Tl1 Tl 0.0000 0.0000 0.5000 1
Cd1 Cd 0.0000 0.5000 0.2533 1
```

Total energy in hartree per atom: -0.106
Crystal system: hexagonal

=====

# 4
First-principles (PBE-GGA) data for a geometry-optimized DyTl2Cd structure, as listed in Alexandria.

```
data_DyTl2Cd
_chemical_formula_sum 'Dy3 Tl6 Cd3'
_cell_length_a 4.4101
_cell_length_b 4.4101
_cell_length_c 20.8713
_cell_angle_alpha 90.00
_cell_angle_beta 90.00
_cell_angle_gamma 120.00
_space_group_name_H-M_alt 'R 3 m'
_space_group_IT_number 160
_space_group_name_Hall 'R 3 -2"'
loop_
_atom_site_label
_atom_site_type_symbol
_atom_site_fract_x
_atom_site_fract_y
_atom_site_fract_z
_atom_site_occupancy
Dy1 Dy 0.0000 0.0000 0.0000 1
Tl1 Tl 0.0000 0.0000 0.4258 1
Tl2 Tl 0.0000 0.0000 0.5793 1
Cd1 Cd 0.0000 0.0000 0.1701 1
```

Total energy in hartree per atom: -0.094
Energy above the most stable polymorph in this dataset in kcal/mol of atoms: 5.86
Crystal system: trigonal

=====

no.,Fermi-level density of states (states/eV/f.u.),formation energy (eV per atom)
1,9.72,-0.338
2,4.87,-0.168
3,15.82,-0.148
4,2.55,0.016